# 1
BTeRu3 (PBE-GGA, relaxed); energy relative to the elements, uncorrected = 2.4487 eV/atom; relative energy among the computed polymorphs = 2219 meV/atom
1.0
4.856 0.000 0.000
0.000 4.856 0.000
0.000 0.000 4.856
B Te Ru
1 1 3
Direct
0.000 0.000 0.000
0.500 0.500 0.500
0.000 0.500 0.500
0.500 0.000 0.500
0.500 0.500 0.000



# 2
BTe2Ru (PBE-GGA, relaxed); energy relative to the elements, uncorrected = 0.9995 eV/atom
1.0
1.691 0.976 7.958
-1.691 0.976 7.958
0.000 -1.952 7.958
B Te Ru
1 2 1
Direct
0.000 0.000 0.000
0.395 0.395 0.395
0.605 0.605 0.605
0.500 0.500 0.500



# 3
B3TeRu (PBE-GGA, relaxed); energy relative to the elements, uncorrected = 1.3116 eV/atom; relative energy among the computed polymorphs = 0 meV/atom
1.0
4.196 0.000 0.000
0.000 4.196 0.000
0.000 0.000 4.196
B Te Ru
3 1 1
Direct
0.000 0.000 0.500
0.000 0.500 0.000
0.500 0.000 0.000
0.500 0.500 0.500
0.000 0.000 0.000



# 4
BTe2Ru (PBE-GGA, relaxed); energy relative to the elements, uncorrected = 0.4825 eV/atom
1.0
-2.862 2.862 5.326
2.862 -2.862 5.326
2.862 2.862 -5.326
B Te Ru
2 4 2
Direct
0.000 0.000 0.000
0.750 0.250 0.500
0.090 0.625 0.965
0.375 0.340 0.465
0.660 0.125 0.035
0.875 0.910 0.535
0.250 0.750 0.500
0.500 0.500 0.000



# 5
TiBTe2Ru (PBE-GGA, relaxed); energy relative to the elements, uncorrected = 1.0847 eV/atom
1.0
5.230 0.000 0.000
0.000 5.230 0.000
0.000 0.000 4.123
Ti B Te Ru
1 1 2 1
Direct
0.000 0.000 0.000
0.000 0.000 0.500
0.000 0.500 0.000
0.500 0.000 0.000
0.500 0.500 0.500



# 6
YBTe2Ru (PBE-GGA, relaxed); energy relative to the elements, uncorrected = -0.0683 eV/atom
1.0
5.409 0.000 0.000
0.000 5.409 0.000
0.000 0.000 3.947
Y B Te Ru
1 1 2 1
Direct
0.000 0.000 0.000
0.500 0.500 0.000
0.000 0.500 0.500
0.500 0.000 0.500
0.500 0.500 0.500



# 7
ZrBTe2Ru (PBE-GGA, relaxed); energy relative to the elements, uncorrected = 0.6884 eV/atom
1.0
4.719 0.000 0.000
0.000 4.719 0.000
0.000 0.000 4.388
Zr B Te Ru
1 1 2 1
Direct
0.000 0.000 0.000
0.000 0.000 0.500
0.000 0.500 0.500
0.500 0.000 0.500
0.500 0.500 0.000



# 8
ThBRu (PBE-GGA, relaxed); relative energy among the computed polymorphs = 337 meV/atom; formation energy = -0.04 eV per atom
1.0
-2.388 2.388 4.509
2.388 -2.388 4.509
2.388 2.388 -4.509
Th B Ru
2 2 2
Direct
0.000 0.000 0.000
0.750 0.250 0.500
0.071 0.571 0.500
0.321 0.321 0.000
0.290 0.790 0.500
0.540 0.540 0.000



# 9
ThBRu (PBE-GGA, relaxed); relative energy among the computed polymorphs = 0 meV/atom; formation energy = -0.38 eV per atom
1.0
3.762 0.000 0.000
-1.881 3.258 0.000
0.000 0.000 4.298
Th B Ru
1 1 1
Direct
0.000 0.000 0.000
0.333 0.667 0.500
0.667 0.333 0.500



# 10
Th2B3Ru2 (PBE-GGA, relaxed); formation energy = -0.22 eV per atom
1.0
5.492 -1.966 0.000
5.492 1.966 0.000
-2.340 0.000 5.105
Th B Ru
2 3 2
Direct
0.112 0.112 0.288
0.888 0.888 0.712
0.401 0.401 0.170
0.500 0.500 0.500
0.599 0.599 0.830
0.187 0.187 0.824
0.813 0.813 0.176



# 11
ThBRu2 (PBE-GGA, relaxed); formation energy = -0.14 eV per atom
1.0
1.890 1.091 5.296
-1.890 1.091 5.296
0.000 -2.183 5.296
Th B Ru
1 1 2
Direct
0.000 0.000 0.000
0.500 0.500 0.500
0.215 0.215 0.215
0.785 0.785 0.785



# 12
ThB2Ru4 (PBE-GGA, relaxed); formation energy = -0.30 eV per atom
1.0
1.926 -6.666 0.000
1.926 6.666 0.000
0.000 0.000 3.823
Th B Ru
1 2 4
Direct
0.000 0.000 0.000
0.419 0.581 0.500
0.581 0.419 0.500
0.178 0.822 0.500
0.317 0.683 0.000
0.683 0.317 0.000
0.822 0.178 0.500